Entry 1:
Material: InAgBr2
Method: DFT, PBE
State: relaxed

Unit cell a=6.9118 b=6.9118 c=5.8469 alpha=107.21 beta=107.21 gamma=34.61
Closest atoms and distances in Å follow each position.
Atoms (fractional coordinates):
In1 0.0000 0.0000 0.0000  1 Ag 2.76, 3 Br 2.81-2.95
Ag1 0.1427 0.1427 0.7397  1 In 2.76, 4 Br 2.77-2.97
Br1 0.5363 0.5363 0.3784  2 In 2.95, 2 Ag 2.97
Br2 0.7809 0.7809 0.9466  2 Ag 2.77, 1 In 2.81

Calculated values
energy relative to the lowest polymorph listed for this composition = 0.18 kcal/mol of atoms
uncorrected formation energy = -0.46 eV/atom
symmetry = No. 8

Entry 2:
Material: RuPb2Cl
Method: DFT, PBE
State: relaxed

Unit cell a=5.3143 b=5.3143 c=5.3143 alpha=126.68 beta=126.68 gamma=78.78
Closest atoms and distances in Å follow each position.
Atoms (fractional coordinates):
Ru1 0.0000 0.0000 0.0000  8 Pb 3.15, 4 Cl 3.37
Pb1 0.2500 0.7500 0.5000  4 Cl 3.15, 4 Ru 3.15, 4 Pb 3.37
Pb2 0.7500 0.2500 0.5000  4 Cl 3.15, 4 Ru 3.15, 4 Pb 3.37
Cl1 0.5000 0.5000 0.0000  8 Pb 3.15, 4 Ru 3.37

Calculated values
energy relative to the lowest polymorph listed for this composition = 9.80 kcal/mol of atoms
uncorrected formation energy = 0.44 eV/atom
symmetry = No. 139
N(E_F) = 4.035 states/eV/cell

Entry 3:
Material: CuH12C4N6O6
Method: DFT, PBE
State: relaxed

Unit cell a=9.1342 b=9.1342 c=12.7964 alpha=90.00 beta=90.00 gamma=90.00
Closest atoms and distances in Å follow each position.
Atoms (fractional coordinates):
Cu1 0.0000 0.0000 0.0000  4 O 2.00
Cu2 0.0000 0.5000 0.2500  4 O 2.00
Cu3 0.5000 0.0000 0.7500  4 O 2.00
Cu4 0.5000 0.5000 0.5000  4 O 2.00
H1 0.0102 0.3576 0.4814  1 N 1.03
H2 0.0307 0.1233 0.7509  1 N 1.02
H3 0.1233 0.9693 0.2491  1 N 1.02
H4 0.1424 0.4898 0.0186  1 N 1.03
H5 0.1477 0.8104 0.3235  1 N 1.02
H6 0.1782 0.3172 0.9604  1 N 1.02
H7 0.1813 0.7035 0.9177  1 N 1.02
H8 0.1828 0.3218 0.5396  1 N 1.02
H9 0.1896 0.1477 0.6765  1 N 1.02
H10 0.1924 0.1918 0.3144  1 N 1.02
H11 0.1918 0.8076 0.6856  1 N 1.02
H12 0.2035 0.6813 0.5823  1 N 1.02
H13 0.2965 0.1813 0.0823  1 N 1.02
H14 0.3082 0.3076 0.1856  1 N 1.02
H15 0.3076 0.6918 0.8144  1 N 1.02
H16 0.3104 0.6477 0.1765  1 N 1.02
H17 0.3172 0.8218 0.0396  1 N 1.02
H18 0.3187 0.2035 0.4177  1 N 1.02
H19 0.3218 0.8172 0.4604  1 N 1.02
H20 0.3523 0.3104 0.8235  1 N 1.02
H21 0.3576 0.9898 0.5187  1 N 1.03
H22 0.3767 0.4693 0.7491  1 N 1.02
H23 0.4693 0.6233 0.2509  1 N 1.02
H24 0.4898 0.8576 0.9814  1 N 1.03
H25 0.5102 0.1424 0.9814  1 N 1.03
H26 0.5307 0.3767 0.2509  1 N 1.02
H27 0.6233 0.5307 0.7491  1 N 1.02
H28 0.6424 0.0102 0.5187  1 N 1.03
H29 0.6477 0.6896 0.8235  1 N 1.02
H30 0.6782 0.1828 0.4604  1 N 1.02
H31 0.6813 0.7965 0.4177  1 N 1.02
H32 0.6828 0.1782 0.0396  1 N 1.02
H33 0.6896 0.3523 0.1765  1 N 1.02
H34 0.6924 0.3082 0.8144  1 N 1.02
H35 0.6918 0.6924 0.1856  1 N 1.02
H36 0.7035 0.8187 0.0823  1 N 1.02
H37 0.7965 0.3187 0.5823  1 N 1.02
H38 0.8082 0.1924 0.6856  1 N 1.02
H39 0.8076 0.8082 0.3144  1 N 1.02
H40 0.8104 0.8523 0.6765  1 N 1.02
H41 0.8172 0.6782 0.5396  1 N 1.02
H42 0.8187 0.2965 0.9177  1 N 1.02
H43 0.8218 0.6828 0.9604  1 N 1.02
H44 0.8523 0.1896 0.3235  1 N 1.02
H45 0.8576 0.5102 0.0186  1 N 1.03
H46 0.8767 0.0307 0.2491  1 N 1.02
H47 0.9693 0.8767 0.7509  1 N 1.02
H48 0.9898 0.6424 0.4814  1 N 1.03
C1 0.0042 0.2506 0.6216  3 N 1.33-1.34
C2 0.0443 0.7443 0.1191  3 O 1.26-1.32
C3 0.2443 0.5443 0.3809  3 O 1.26-1.32
C4 0.2494 0.4958 0.8784  3 N 1.33-1.34
C5 0.2506 0.9958 0.3784  3 N 1.33-1.34
C6 0.2557 0.0443 0.8809  3 O 1.26-1.32
C7 0.4557 0.2443 0.6191  3 O 1.26-1.32
C8 0.4958 0.7506 0.1216  3 N 1.33-1.34
C9 0.5042 0.2494 0.1216  3 N 1.33-1.34
C10 0.5443 0.7557 0.6191  3 O 1.26-1.32
C11 0.7443 0.9557 0.8809  3 O 1.26-1.32
C12 0.7494 0.0042 0.3784  3 N 1.33-1.34
C13 0.7506 0.5042 0.8784  3 N 1.33-1.34
C14 0.7557 0.4557 0.3809  3 O 1.26-1.32
C15 0.9557 0.2557 0.1191  3 O 1.26-1.32
C16 0.9958 0.7494 0.6216  3 N 1.33-1.34
N1 0.0709 0.3223 0.5440  2 H 1.02-1.03
N2 0.0831 0.1753 0.6916  2 H 1.02
N3 0.1411 0.7443 0.6312  2 H 1.02
N4 0.1753 0.9169 0.3084  2 H 1.02
N5 0.1777 0.4291 0.9560  2 H 1.02-1.03
N6 0.2443 0.6411 0.8688  2 H 1.02
N7 0.2557 0.1411 0.3688  2 H 1.02
N8 0.3223 0.9291 0.4560  2 H 1.02-1.03
N9 0.3247 0.4169 0.8084  2 H 1.02
N10 0.3589 0.2443 0.1312  2 H 1.02
N11 0.4169 0.6753 0.1916  2 H 1.02
N12 0.4291 0.8223 0.0440  2 H 1.02-1.03
N13 0.5709 0.1777 0.0440  2 H 1.02-1.03
N14 0.5831 0.3247 0.1916  2 H 1.02
N15 0.6411 0.7557 0.1312  2 H 1.02
N16 0.6753 0.5831 0.8084  2 H 1.02
N17 0.6777 0.0709 0.4560  2 H 1.02-1.03
N18 0.7443 0.8589 0.3688  2 H 1.02
N19 0.7557 0.3589 0.8688  2 H 1.02
N20 0.8223 0.5709 0.9560  2 H 1.02-1.03
N21 0.8247 0.0831 0.3084  2 H 1.02
N22 0.8589 0.2557 0.6312  2 H 1.02
N23 0.9169 0.8247 0.6916  2 H 1.02
N24 0.9291 0.6777 0.5440  2 H 1.02-1.03
O1 0.0550 0.2002 0.1754  1 C 1.26
O2 0.1003 0.8126 0.0375  1 C 1.32
O3 0.1011 0.6137 0.1380  1 C 1.32
O4 0.1137 0.6011 0.3620  1 C 1.32
O5 0.1874 0.1003 0.9625  1 C 1.32
O6 0.2002 0.9450 0.8246  1 C 1.26
O7 0.2998 0.4450 0.3246  1 C 1.26
O8 0.3126 0.6003 0.4625  1 C 1.32
O9 0.3863 0.1011 0.8620  1 C 1.32
O10 0.3989 0.1137 0.6380  1 C 1.32
O11 0.3997 0.3126 0.5375  1 C 1.32
O12 0.4450 0.7002 0.6754  1 C 1.26
O13 0.5550 0.2998 0.6754  1 C 1.26
O14 0.6003 0.6874 0.5375  1 C 1.32
O15 0.6011 0.8863 0.6380  1 C 1.32
O16 0.6137 0.8989 0.8620  1 C 1.32
O17 0.6874 0.3997 0.4625  1 C 1.32
O18 0.7002 0.5550 0.3246  1 C 1.26
O19 0.7998 0.0550 0.8246  1 C 1.26
O20 0.8126 0.8997 0.9625  1 C 1.32
O21 0.8863 0.3989 0.3620  1 C 1.32
O22 0.8989 0.3863 0.1380  1 C 1.32
O23 0.8997 0.1874 0.0375  1 C 1.32
O24 0.9450 0.7998 0.1754  1 C 1.26

Calculated values
symmetry = No. 118
N(E_F) = 6.455 states/eV/cell

Entry 4:
Material: Mg2ZrBi
Method: DFT, PBE
State: relaxed

Unit cell a=11.4584 b=11.4584 c=11.4584 alpha=16.45 beta=16.45 gamma=16.45
Closest atoms and distances in Å follow each position.
Atoms (fractional coordinates):
Mg1 0.0875 0.0875 0.0875  1 Zr 2.97, 6 Mg 3.28, 3 Bi 3.28
Mg2 0.9125 0.9125 0.9125  1 Zr 2.97, 6 Mg 3.28, 3 Bi 3.28
Zr1 0.0000 0.0000 0.0000  2 Mg 2.97, 6 Zr 3.28
Bi1 0.5000 0.5000 0.5000  6 Bi 3.28, 6 Mg 3.28

Calculated values
symmetry = No. 166
N(E_F) = 3.532 states/eV/cell
E_form = 0.315 eV per atom

Entry 5:
Material: ZnSn2Bi
Method: DFT, PBE
State: relaxed

Unit cell a=5.3424 b=5.3424 c=5.3424 alpha=60.00 beta=60.00 gamma=60.00
Closest atoms and distances in Å follow each position.
Atoms (fractional coordinates):
Zn1 0.0000 0.0000 0.0000  8 Sn 3.27
Sn1 0.2500 0.2500 0.2500  4 Bi 3.27, 4 Zn 3.27
Sn2 0.7500 0.7500 0.7500  4 Bi 3.27, 4 Zn 3.27
Bi1 0.5000 0.5000 0.5000  8 Sn 3.27

Calculated values
energy relative to the lowest polymorph listed for this composition = 1.95 kcal/mol of atoms
symmetry = No. 225
N(E_F) = 2.718 states/eV/cell
E_form = 0.176 eV per atom

Entry 6:
Material: Ca5Si2N6
Method: DFT, PBE
State: relaxed

Unit cell a=5.7885 b=5.7885 c=12.7742 alpha=98.58 beta=98.58 gamma=63.30
Closest atoms and distances in Å follow each position.
Atoms (fractional coordinates):
Ca1 0.1186 0.8814 0.7500  4 N 2.35-2.58
Ca2 0.1756 0.6946 0.0011  4 N 2.44-2.65
Ca3 0.2611 0.4323 0.2841  5 N 2.33-2.48
Ca4 0.3054 0.8244 0.4989  4 N 2.44-2.65
Ca5 0.4323 0.2611 0.7841  5 N 2.33-2.48
Ca6 0.5677 0.7389 0.2159  5 N 2.33-2.48
Ca7 0.6946 0.1756 0.5011  4 N 2.44-2.65
Ca8 0.7389 0.5677 0.7159  5 N 2.33-2.48
Ca9 0.8244 0.3054 0.9989  4 N 2.44-2.65
Ca10 0.8814 0.1186 0.2500  4 N 2.35-2.58
Si1 0.1465 0.4071 0.5761  4 N 1.73-1.84
Si2 0.4071 0.1465 0.0761  4 N 1.73-1.84
Si3 0.5929 0.8535 0.9239  4 N 1.73-1.84
Si4 0.8535 0.5929 0.4239  4 N 1.73-1.84
N1 0.1091 0.1931 0.6483  1 Si 1.75
N2 0.1559 0.2929 0.4377  2 Si 1.79-1.84
N3 0.1931 0.1091 0.1483  1 Si 1.75
N4 0.2929 0.1559 0.9377  2 Si 1.79-1.84
N5 0.3981 0.4856 0.6274  1 Si 1.73
N6 0.4856 0.3981 0.1274  1 Si 1.73
N7 0.5144 0.6019 0.8726  1 Si 1.73
N8 0.6019 0.5144 0.3726  1 Si 1.73
N9 0.7071 0.8441 0.0623  2 Si 1.79-1.84
N10 0.8069 0.8909 0.8517  1 Si 1.75
N11 0.8441 0.7071 0.5623  2 Si 1.79-1.84
N12 0.8909 0.8069 0.3517  1 Si 1.75

Calculated values
uncorrected formation energy = -1.15 eV/atom
symmetry = No. 15
N(E_F) = 0.000 states/eV/cell

| no. | calculated total energy (Ry/atom) | density (g/cm3) |
| --- | --- | --- |
| 1 | -0.1978 | 4.2 |
| 2 | -0.3083 | 9.8 |
| 3 | -0.4541 | 1.9 |
| 4 | -0.2638 | 5.5 |
| 5 | -0.2289 | 7.9 |
| 6 | -0.4851 | 3.0 |